No. 1
# Er5InRh6

Er5InRh6 after structural relaxation (PBE, Alexandria via LeMat-Bulk).

Summary:
The symmetry is Cmmm (65). As for the formation energy: -0.885 eV per atom.

Lattice parameters (Å, degrees): 7.5130 7.5130 6.7431 90.00 90.00 143.15
Closest atoms and distances in Å follow each position.
Fractional coordinates of all 12 atoms:
Er 0.0000 0.0000 0.0000  8 Rh 2.90-2.92
Er 0.3336 0.6664 0.0000  8 Rh 2.90-2.92
Er 0.3387 0.6613 0.5000  8 Rh 2.86-2.97
Er 0.6613 0.3387 0.5000  8 Rh 2.86-2.97
Er 0.6664 0.3336 0.0000  8 Rh 2.90-2.92
In 0.0000 0.0000 0.5000  8 Rh 2.91-2.92
Rh 0.1669 0.8331 0.2517  7 Er 2.91-2.97, 1 In 2.91
Rh 0.1669 0.8331 0.7482  7 Er 2.91-2.97, 1 In 2.91
Rh 0.5000 0.5000 0.2474  6 Er 2.86-2.90, 2 In 2.92
Rh 0.5000 0.5000 0.7526  6 Er 2.86-2.90, 2 In 2.92
Rh 0.8331 0.1669 0.2517  7 Er 2.91-2.97, 1 In 2.91
Rh 0.8331 0.1669 0.7482  7 Er 2.91-2.97, 1 In 2.91



No. 2
# Er3In7Rh4

Er3In7Rh4 after structural relaxation (PBE, Alexandria via LeMat-Bulk).

Summary:
The symmetry is C2/m (12). As for the formation energy: -0.506 eV per atom.

Lattice parameters (Å, degrees): 8.4547 8.4547 10.2568 119.81 119.81 28.82
Closest atoms and distances in Å follow each position.
Fractional coordinates of all 14 atoms:
Er 0.0000 0.0000 0.0000  6 Rh 3.31-3.43, 8 In 3.51-3.55
Er 0.3037 0.3037 0.2878  4 Rh 2.94-2.99, 2 In 3.22
Er 0.6963 0.6963 0.7122  4 Rh 2.94-2.99, 2 In 3.22
In 0.0000 0.0000 0.5000  2 Rh 2.80, 2 In 3.12
In 0.1679 0.1679 0.4389  3 Rh 2.74-2.82
In 0.3196 0.3196 0.9802  4 Rh 2.65-2.84
In 0.4917 0.4917 0.7199  3 Rh 2.68-2.75
In 0.5083 0.5083 0.2801  3 Rh 2.68-2.75
In 0.6804 0.6804 0.0198  4 Rh 2.65-2.84
In 0.8321 0.8321 0.5611  3 Rh 2.74-2.82
Rh 0.1175 0.1175 0.8166  6 In 2.75-2.84, 2 Er 2.94
Rh 0.3320 0.3320 0.7324  5 In 2.65-2.82
Rh 0.6680 0.6680 0.2676  5 In 2.65-2.82
Rh 0.8825 0.8825 0.1834  6 In 2.75-2.84, 2 Er 2.94



No. 3
# Er2InRh4

Er2InRh4 after structural relaxation (PBE, Alexandria via LeMat-Bulk).

Summary:
The symmetry is R-3m (166). As for the formation energy: -0.463 eV per atom.

Lattice parameters (Å, degrees): 7.9532 7.9532 7.9532 33.38 33.38 33.38
Closest atoms and distances in Å follow each position.
Fractional coordinates of all 7 atoms:
Er 0.2437 0.2437 0.2437  8 Rh 2.72-2.92
Er 0.7563 0.7563 0.7563  8 Rh 2.72-2.92
In 0.0000 0.0000 0.0000  8 Rh 2.77-2.79
Rh 0.1229 0.1229 0.1229  4 Er 2.72-2.74, 1 In 2.77
Rh 0.3732 0.3732 0.3732  3 In 2.79, 4 Er 2.87-2.92
Rh 0.6268 0.6268 0.6268  3 In 2.79, 4 Er 2.87-2.92
Rh 0.8771 0.8771 0.8771  4 Er 2.72-2.74, 1 In 2.77



No. 4
# ErInRh

ErInRh after structural relaxation (PBE, Alexandria via LeMat-Bulk).

Summary:
The symmetry is Pmma (51). As for the formation energy: -0.747 eV per atom.

Lattice parameters (Å, degrees): 13.0788 3.7729 7.7664 90.00 90.00 90.00
Closest atoms and distances in Å follow each position.
Fractional coordinates of all 18 atoms:
Er 0.0462 0.0000 0.2151  5 Rh 2.93-3.21, 4 In 3.27-3.28
Er 0.2500 0.0000 0.8333  5 Rh 2.84-3.01
Er 0.4538 0.0000 0.2151  5 Rh 2.93-3.21, 4 In 3.27-3.28
Er 0.5462 0.0000 0.7849  5 Rh 2.93-3.21, 4 In 3.27-3.28
Er 0.7500 0.0000 0.1667  5 Rh 2.84-3.01
Er 0.9538 0.0000 0.7849  5 Rh 2.93-3.21, 4 In 3.27-3.28
In 0.1130 0.5000 0.5671  3 Rh 2.77-2.86
In 0.2500 0.5000 0.1888  4 Rh 2.75-2.78
In 0.3870 0.5000 0.5671  3 Rh 2.77-2.86
In 0.6130 0.5000 0.4329  3 Rh 2.77-2.86
In 0.7500 0.5000 0.8112  4 Rh 2.75-2.78
In 0.8870 0.5000 0.4329  3 Rh 2.77-2.86
Rh 0.0998 0.5000 0.9353  2 In 2.78-2.86, 1 Rh 2.80, 6 Er 2.84-2.96
Rh 0.2500 0.0000 0.4457  6 In 2.75-2.77, 1 Er 3.01
Rh 0.4002 0.5000 0.9353  2 In 2.78-2.86, 1 Rh 2.80, 6 Er 2.84-2.96
Rh 0.5998 0.5000 0.0647  2 In 2.78-2.86, 1 Rh 2.80, 6 Er 2.84-2.96
Rh 0.7500 0.0000 0.5543  6 In 2.75-2.77, 1 Er 3.01
Rh 0.9002 0.5000 0.0647  2 In 2.78-2.86, 1 Rh 2.80, 6 Er 2.84-2.96



No. 5
# Er4InRh

Er4InRh after structural relaxation (PBE, Alexandria via LeMat-Bulk).

Summary:
The symmetry is C2/m (12). The value obtained for the polymorph energy (0 for the lowest one) is 234 meV/atom. As for the formation energy: -0.341 eV per atom.

Lattice parameters (Å, degrees): 6.8774 6.8775 7.2973 90.00 90.09 90.00
Closest atoms and distances in Å follow each position.
Fractional coordinates of all 12 atoms:
Er 0.2496 0.2500 0.2247  2 Rh 2.93-2.94, 2 In 3.15, 1 Er 3.28
Er 0.2504 0.2500 0.7753  2 Rh 2.93-2.94, 2 In 3.15, 1 Er 3.28
Er 0.2496 0.7500 0.2247  2 Rh 2.93-2.94, 2 In 3.15, 1 Er 3.28
Er 0.2504 0.7500 0.7753  2 Rh 2.93-2.94, 2 In 3.15, 1 Er 3.28
Er 0.7496 0.2500 0.2247  2 Rh 2.93-2.94, 2 In 3.15, 1 Er 3.28
Er 0.7504 0.2500 0.7753  2 Rh 2.93-2.94, 2 In 3.15, 1 Er 3.28
Er 0.7496 0.7500 0.2247  2 Rh 2.93-2.94, 2 In 3.15, 1 Er 3.28
Er 0.7504 0.7500 0.7753  2 Rh 2.93-2.94, 2 In 3.15, 1 Er 3.28
In 0.0000 0.0000 0.5000  8 Er 3.15
In 0.5000 0.5000 0.5000  8 Er 3.15
Rh 0.0000 0.5000 0.0000  8 Er 2.93-2.94
Rh 0.5000 0.0000 0.0000  8 Er 2.93-2.94



No. 6
# ErInRh2

ErInRh2 after structural relaxation (PBE, Alexandria via LeMat-Bulk).

Summary:
The symmetry is P4/mmm (123). As for the formation energy: -0.715 eV per atom.

Lattice parameters (Å, degrees): 3.3697 3.3697 6.4053 90.00 90.00 90.00
Closest atoms and distances in Å follow each position.
Fractional coordinates of all 4 atoms:
Er 0.0000 0.0000 0.0000  8 Rh 2.91, 2 In 3.20
In 0.0000 0.0000 0.5000  8 Rh 2.83
Rh 0.5000 0.5000 0.2608  4 In 2.83, 4 Er 2.91, 1 Rh 3.06
Rh 0.5000 0.5000 0.7392  4 In 2.83, 4 Er 2.91, 1 Rh 3.06



| no. | theoretical density (g/cm3) | VASP energy (eV per formula unit) |
| --- | --- | --- |
| 1 | 11.41 | -80.3 |
| 2 | 9.40 | -69.4 |
| 3 | 10.54 | -44.5 |
| 4 | 10.01 | -16.9 |
| 5 | 8.53 | -30.4 |
| 6 | 11.14 | -24.9 |